# MnCuOF2

An optimized crystal structure of MnCuOF2 (GGA+U, Alexandria via LeMat-Bulk).

Values from the calculation:
**ρ**: 4.6 g/cm3
**Energy above the lowest structure with this stoichiometry**: 0.000 eV/atom
**V**: 12.35 Å³ per atom

```
data_MnCuOF2
_cell_length_a 4.0255
_cell_length_b 4.0255
_cell_length_c 3.8122
_cell_angle_alpha 90.00
_cell_angle_beta 90.00
_cell_angle_gamma 90.00
_symmetry_space_group_name_H-M 'P 4/m m m'
_symmetry_Int_Tables_number 123
_symmetry_space_group_name_Hall '-P 4 2'
loop_
_atom_site_label
_atom_site_type_symbol
_atom_site_fract_x
_atom_site_fract_y
_atom_site_fract_z
Mn1 Mn 0.0000 0.0000 0.0000
Cu1 Cu 0.5000 0.5000 0.5000
O1 O 0.0000 0.0000 0.5000
F1 F 0.0000 0.5000 0.0000
```